Entry 1:
NiRhSeBr2: relaxed, GGA-PBEsol.

The value obtained for the total energy is -0.2715 Ry per atom. As for the formation energy without anion corrections: 683 meV per atom.

abc: 5.054 5.054 4.615
angles: 90.00 90.00 90.00
Space group P4/mmm (No. 123)
Asymmetric unit:
Ni1 0.000 0.000 0.000 [1 per cell]
Rh1 0.500 0.500 0.500 [1 per cell]
Se1 0.500 0.500 0.000 [1 per cell]
Br1 0.000 0.500 0.500 [2 per cell]

---

Entry 2:
SrLa3Tl: relaxed, GGA-PBEsol.

As for the formation energy: 238 meV per atom. The value obtained for the total energy is -0.2840 Ry per atom.

abc: 6.081 6.081 6.081
angles: 90.00 90.00 90.00
Space group Pm-3m (No. 221)
Asymmetric unit:
Sr1 0.000 0.000 0.000 [1 per cell]
La1 0.000 0.500 0.500 [3 per cell]
Tl1 0.500 0.500 0.500 [1 per cell]

---

Entry 3:
ZrZnBr: relaxed, GGA-PBEsol.

The offset from the most stable computed form is 0.0 meV/atom. The value obtained for the total energy is -0.3395 Ry per atom. As for the formation energy without anion corrections: -438 meV per atom.

abc: 3.3275 3.3275 6.7978
angles: 90.00 90.00 120.00
Space group P3m1 (No. 156)
Asymmetric unit:
Zr1 0.0000 0.0000 0.0000 [1 per cell]
Zn1 0.6667 0.3333 0.3028 [1 per cell]
Br1 0.3333 0.6667 0.7183 [1 per cell]

---

Entry 4:
KTi3Zn: relaxed, GGA-PBEsol.

The offset from the most stable computed form is 0.0 meV/atom. As for the formation energy: 1119 meV per atom. The value obtained for the total energy is -0.3247 Ry per atom.

abc: 4.926 4.926 4.926
angles: 90.00 90.00 90.00
Space group Pm-3m (No. 221)
Asymmetric unit:
K1 0.000 0.000 0.000 [1 per cell]
Ti1 0.000 0.500 0.500 [3 per cell]
Zn1 0.500 0.500 0.500 [1 per cell]

---

Entry 5:
Al2TlAsI: relaxed, GGA-PBEsol.

The value obtained for the total energy is -0.2291 Ry per atom. As for the formation energy without anion corrections: 420 meV per atom.

abc: 4.909 4.909 8.335
angles: 90.00 90.00 90.00
Space group P4/mmm (No. 123)
Asymmetric unit:
Al1 0.000 0.500 0.000 [2 per cell]
Tl1 0.000 0.000 0.500 [1 per cell]
As1 0.500 0.500 0.000 [1 per cell]
I1 0.500 0.500 0.500 [1 per cell]

---

Entry 6:
Li3MoC: relaxed, GGA-PBEsol.

As for the formation energy: 2643 meV per atom. The value obtained for the total energy is -0.2072 Ry per atom.

abc: 5.103 5.103 5.103
angles: 90.00 90.00 90.00
Space group Pm-3m (No. 221)
Asymmetric unit:
Li1 0.000 0.000 0.500 [3 per cell]
Mo1 0.000 0.000 0.000 [1 per cell]
C1 0.500 0.500 0.500 [1 per cell]

---

Entry 7:
Pr2I5: relaxed, GGA-PBEsol.

The value obtained for the total energy is -0.3049 Ry per atom. As for the formation energy without anion corrections: -1405 meV per atom.

abc: 8.691 4.265 14.466
angles: 90.00 91.38 90.00
Space group P2_1/m (No. 11)
Asymmetric unit:
Pr1 0.080 0.250 0.157 [2 per cell]
Pr2 0.406 0.750 0.347 [2 per cell]
I1 0.139 0.250 0.377 [2 per cell]
I2 0.159 0.250 0.778 [2 per cell]
I3 0.193 0.750 0.009 [2 per cell]
I4 0.350 0.750 0.571 [2 per cell]
I5 0.446 0.250 0.185 [2 per cell]

---

Entry 8:
LiY2As: relaxed, GGA-PBEsol.

As for the formation energy: -745 meV per atom. The value obtained for the total energy is -0.4354 Ry per atom.

abc: 4.081 4.021 10.875
angles: 90.00 90.00 90.00
Space group Amm2 (No. 38)
Asymmetric unit:
Li1 0.000 0.000 0.000 [2 per cell]
Y1 0.000 0.000 0.708 [2 per cell]
Y2 0.500 0.000 0.417 [2 per cell]
As1 0.500 0.000 0.136 [2 per cell]

---

Entry 9:
Sc2Pt2Au: relaxed, GGA-PBEsol.

The offset from the most stable computed form is 0.0 meV/atom. As for the formation energy: -1019 meV per atom. The value obtained for the total energy is -0.5315 Ry per atom.

abc: 7.345 7.345 3.310
angles: 90.00 90.00 90.00
Space group P4/mbm (No. 127)
Asymmetric unit:
Sc1 0.167 0.333 0.000 [4 per cell]
Pt1 0.134 0.634 0.500 [4 per cell]
Au1 0.000 0.000 0.500 [2 per cell]

---

Entry 10:
ZrTaCu2: relaxed, GGA-PBEsol.

As for the formation energy: 163 meV per atom. The value obtained for the total energy is -0.5450 Ry per atom.

abc: 3.837 3.837 8.413
angles: 90.00 90.00 90.00
Space group I-4m2 (No. 119)
Asymmetric unit:
Zr1 0.000 0.000 0.000 [2 per cell]
Ta1 0.000 0.500 0.750 [2 per cell]
Cu1 0.000 0.000 0.500 [2 per cell]
Cu2 0.000 0.500 0.250 [2 per cell]

---

Entry 11:
BaNa2SrO: relaxed, GGA-PBEsol.

The value obtained for the total energy is -0.2057 Ry per atom. As for the formation energy without anion corrections: -392 meV per atom.

abc: 6.815 6.815 4.507
angles: 90.00 90.00 90.00
Space group P4/mmm (No. 123)
Asymmetric unit:
Ba1 0.000 0.000 0.000 [1 per cell]
Na1 0.000 0.500 0.500 [2 per cell]
Sr1 0.500 0.500 0.500 [1 per cell]
O1 0.500 0.500 0.000 [1 per cell]

---

Entry 12:
BeCo2Os: relaxed, GGA-PBEsol.

As for the formation energy: 113 meV per atom. The value obtained for the total energy is -0.5740 Ry per atom.

abc: 2.801 3.794 4.040
angles: 90.00 90.00 90.00
Space group Pmmm (No. 47)
Asymmetric unit:
Be1 0.000 0.000 0.000 [1 per cell]
Co1 0.000 0.500 0.500 [1 per cell]
Co2 0.500 0.000 0.500 [1 per cell]
Os1 0.500 0.500 0.000 [1 per cell]

---

Entry 13:
SiMo3I: relaxed, GGA-PBEsol.

The value obtained for the total energy is -0.4559 Ry per atom. As for the formation energy without anion corrections: 2361 meV per atom.

abc: 4.794 4.794 4.794
angles: 90.00 90.00 90.00
Space group Pm-3m (No. 221)
Asymmetric unit:
Si1 0.000 0.000 0.000 [1 per cell]
Mo1 0.000 0.500 0.500 [3 per cell]
I1 0.500 0.500 0.500 [1 per cell]

---

Taking the records one at a time from the top gives total moment values of 1.179, 0.000, 0.001, 4.440, 0.000, 6.980, 0.846, 0.699, 0.000, 0.000, 0.004, 2.718, 0.812 μB/f.u..